Entry 1:
{"formula": "Sr4Li3Zn", "functional": "PBE-GGA", "state": "optimized geometry", "lattice_angstrom": [[4.667, 0.000, 0.000], [0.000, 4.924, 0.000], [0.000, 0.000, 12.731]], "species": ["Sr", "Sr", "Sr", "Sr", "Li", "Li", "Li", "Zn"], "fractional_positions": [[0.000, 0.000, 0.000], [0.000, 0.500, 0.272], [0.500, 0.000, 0.474], [0.500, 0.500, 0.783], [0.000, 0.000, 0.697], [0.000, 0.500, 0.566], [0.500, 0.500, 0.078], [0.500, 0.000, 0.196]], "ef_mev_per_atom": -32, "space_group": "No. 25"}

***

Entry 2:
{"formula": "NdDy5Tl4", "functional": "PBE-GGA", "state": "optimized geometry", "lattice_angstrom": [[3.609, 0.000, 0.000], [0.000, 3.609, 0.000], [0.000, 0.000, 21.947]], "species": ["Nd", "Dy", "Dy", "Dy", "Dy", "Dy", "Tl", "Tl", "Tl", "Tl"], "fractional_positions": [[0.000, 0.000, 0.000], [0.500, 0.500, 0.117], [0.500, 0.500, 0.308], [0.500, 0.500, 0.500], [0.500, 0.500, 0.692], [0.500, 0.500, 0.883], [0.000, 0.000, 0.212], [0.000, 0.000, 0.404], [0.000, 0.000, 0.596], [0.000, 0.000, 0.788]], "ef_mev_per_atom": -273, "space_group": "No. 123"}

***

Entry 3:
{"formula": "KMnBr2", "functional": "PBE-GGA", "state": "optimized geometry", "lattice_angstrom": [[-3.292, 3.292, 6.881], [3.292, -3.292, 6.881], [3.292, 3.292, -6.881]], "species": ["K", "K", "Mn", "Mn", "Br", "Br", "Br", "Br"], "fractional_positions": [[0.000, 0.000, 0.000], [0.750, 0.250, 0.500], [0.250, 0.750, 0.500], [0.500, 0.500, 0.000], [0.215, 0.625, 0.090], [0.375, 0.465, 0.590], [0.535, 0.125, 0.910], [0.875, 0.785, 0.410]], "e_form_raw_ev_per_atom": -0.6801, "space_group": "No. 122"}

***

| no. | DOS(E_F) (states/eV per atom) |
| --- | --- |
| 1 | 0.70 |
| 2 | 0.88 |
| 3 | 0.66 |